# 1
TbMoPb2O6 | GGA+U | optimized geometry

The volume is 149.1 Å³/f.u. The total energy is -6.816 eV/atom.

The structure belongs to space group P2_1/c (No. 14); the cell edges are 5.7702, 6.0454 and 10.2532 Å and the angles 90.00°, 123.54° and 90.00°. The asymmetric unit holds Tb at (0.0000, 0.0000, 0.0000), Mo at (0.5000, 0.0000, 0.5000), Pb at (0.2421, 0.0435, 0.7314), O at (0.1813, 0.1800, 0.4810), O at (0.2864, 0.7346, 0.4688) and O at (0.3290, 0.0272, 0.2621).

# 2
Tb2MoPbO8 | GGA+U | optimized geometry

The volume is 172.3 Å³/f.u. The total energy is -7.162 eV/atom.

The structure belongs to space group Cmmm (No. 65); the cell edges are 6.9343, 7.2335 and 6.8697 Å and the angles 90.00°, 90.00° and 90.00°. The asymmetric unit holds Tb at (0.0000, 0.0000, 0.2424), Mo at (0.0000, 0.5000, 0.0000), Pb at (0.0000, 0.5000, 0.5000), O at (0.0000, 0.3180, 0.2138), O at (0.2034, 0.0000, 0.5000) and O at (0.2201, 0.0000, 0.0000).

> Which formula does entry 2 have?

Tb2MoPbO8

> volume of number 2 (Tb2MoPbO8)?

172.3 Å³/f.u.

> volume of number 2 (Tb2MoPbO8)?

172.3 Å³/f.u.